# GGA-PBE Cs3Dy2ErSe6, optimized geometry
data_Cs3Dy2ErSe6
_cell_length_a 7.372
_cell_length_b 12.769
_cell_length_c 8.724
_cell_angle_alpha 90.00
_cell_angle_beta 106.36
_cell_angle_gamma 90.00
_symmetry_space_group_name_H-M 'C 1 2/m 1'
_symmetry_Int_Tables_number 12
loop_
_symmetry_equiv_pos_as_xyz
'x,y,z'
'-x,-y,-z'
'-x,y,-z'
'x,-y,z'
'x+1/2,y+1/2,z'
'-x+1/2,-y+1/2,-z'
'-x+1/2,y+1/2,-z'
'x+1/2,-y+1/2,z'
loop_
_atom_site_label
_atom_site_type_symbol
_atom_site_fract_x
_atom_site_fract_y
_atom_site_fract_z
Cs1 Cs 0.000 0.000 0.000
Cs2 Cs 0.000 0.333 0.000
Dy1 Dy 0.000 0.167 0.500
Er1 Er 0.000 0.500 0.500
Se1 Se 0.227 0.334 0.685
Se2 Se 0.230 0.000 0.685
# - Size of the total moment: 0.00 Bohr magnetons per cell
# - Uncorrected energy: -0.35481 Ry/atom
# - Formation energy from raw total energies: -1.724 eV per atom
# - V: 394 Å³/f.u.